A plane-wave DFT calculation with SCAN was carried out for a crystal of BaTcNi2 relaxed with PBEsol.

## Properties
Symmetry: No. 166
Energy relative to the elements in eV per atom: 0.19
Magnetic moment in μB/f.u.: 0.000

Lattice parameters (Å, degrees): 4.1338 4.1338 6.0792 70.12 70.12 60.00
Closest atoms and distances in Å follow each position.
Fractional coordinates of all 4 atoms:
Ni  0.1832  0.1832  0.4505  3 Tc 2.40, 3 Ni 2.45
Ni  0.8168  0.8168  0.5495  3 Tc 2.40, 3 Ni 2.45
Ba  0.0000  0.0000  0.0000  2 Ni 3.07
Tc  0.5000  0.5000  0.5000  6 Ni 2.40

A plane-wave DFT calculation with SCAN was carried out for a crystal of Ba2TcNi relaxed with PBEsol.

## Properties
Symmetry: No. 8
Energy relative to the elements in eV per atom: 0.30
Magnetic moment in μB/f.u.: 2.193

Lattice parameters (Å, degrees): 4.1583 4.1572 8.9332 103.74 90.00 120.01
Closest atoms and distances in Å follow each position.
Fractional coordinates of all 4 atoms:
Ni  0.4584  0.9169  0.3750  3 Tc 2.40
Ba  0.2130  0.4259  0.6332  3 Ni 3.27, 3 Tc 3.27
Ba  0.0368  0.0737  0.1170  3 Tc 3.26-3.27, 3 Ni 3.27
Tc  0.7918  0.5835  0.3749  3 Ni 2.40

A plane-wave DFT calculation with SCAN was carried out for a crystal of BaTcNi2 relaxed with PBEsol.

## Properties
Symmetry: No. 225
Energy relative to the elements in eV per atom: 1.02
Magnetic moment in μB/f.u.: 3.389

Lattice parameters (Å, degrees): 4.6260 4.6260 4.6260 60.00 60.00 60.00
Closest atoms and distances in Å follow each position.
Fractional coordinates of all 4 atoms:
Tc  0.5000  0.5000  0.5000  8 Ni 2.83
Ba  0.0000  0.0000  0.0000  8 Ni 2.83
Ni  0.7500  0.7500  0.7500  4 Tc 2.83, 4 Ba 2.83
Ni  0.2500  0.2500  0.2500  4 Ba 2.83, 4 Tc 2.83

A plane-wave DFT calculation with SCAN was carried out for a crystal of BaTc2Ni relaxed with PBEsol.

## Properties
Symmetry: No. 10
Energy relative to the elements in eV per atom: 1.25
Magnetic moment in μB/f.u.: 0.000

Lattice parameters (Å, degrees): 3.0735 4.4414 5.1585 89.83 90.00 90.00
Closest atoms and distances in Å follow each position.
Fractional coordinates of all 4 atoms:
Ni  0.0000  0.5000  0.5000  4 Ba 2.70, 4 Tc 3.00
Ba  0.5000  0.0000  0.5000  4 Ni 2.70, 4 Tc 3.00
Tc  0.0000  0.0000  0.0000  4 Tc 2.70, 4 Ba 3.00
Tc  0.5000  0.5000  0.0000  4 Tc 2.70, 4 Ni 3.00

A plane-wave DFT calculation with SCAN was carried out for a crystal of BaTc2Ni relaxed with PBEsol.

## Properties
Symmetry: No. 123
Energy relative to the elements in eV per atom: 1.30
Magnetic moment in μB/f.u.: 0.943

Lattice parameters (Å, degrees): 3.7236 3.7236 5.2554 90.00 90.00 90.00
Closest atoms and distances in Å follow each position.
Fractional coordinates of all 4 atoms:
Ni  0.0000  0.0000  0.5000  4 Ba 2.63
Ba  0.5000  0.5000  0.5000  4 Ni 2.63
Tc  0.5000  0.0000  0.0000  4 Tc 2.63
Tc  0.0000  0.5000  0.0000  4 Tc 2.63

A plane-wave DFT calculation with SCAN was carried out for a crystal of BaTcNi2Te relaxed with PBEsol.

## Properties
Symmetry: No. 123
E_form (uncorrected) in meV/atom: 567
Magnetic moment in μB/f.u.: 3.038

Lattice parameters (Å, degrees): 4.7286 4.7286 5.0621 90.00 90.00 90.00
Closest atoms and distances in Å follow each position.
Fractional coordinates of all 5 atoms:
Tc  0.0000  0.0000  0.5000  2 Te 2.53
Ba  0.5000  0.5000  0.5000  4 Tc 3.34, 8 Ni 3.46
Te  0.0000  0.0000  0.0000  4 Ni 2.36, 2 Tc 2.53
Ni  0.5000  0.0000  0.0000  2 Te 2.36
Ni  0.0000  0.5000  0.0000  2 Te 2.36

A plane-wave DFT calculation with SCAN was carried out for a crystal of Ba2ZnTcNi relaxed with PBEsol.

## Properties
Symmetry: No. 123
Energy relative to the elements in eV per atom: 0.91
Magnetic moment in μB/f.u.: 3.429

Lattice parameters (Å, degrees): 4.3341 5.9877 5.9877 90.00 90.00 90.00
Closest atoms and distances in Å follow each position.
Fractional coordinates of all 5 atoms:
Ni  0.5000  0.0000  0.0000  2 Zn 2.17
Zn  0.0000  0.0000  0.0000  2 Ni 2.17
Ba  0.0000  0.0000  0.5000  2 Zn 2.99
Ba  0.0000  0.5000  0.0000  2 Zn 2.99
Tc  0.5000  0.5000  0.5000  8 Ba 3.70

A plane-wave DFT calculation with SCAN was carried out for a crystal of Ba2NiTe relaxed with PBEsol.

## Properties
Symmetry: No. 8
E_form (uncorrected) in meV/atom: -648
Magnetic moment in μB/f.u.: 0.000

Lattice parameters (Å, degrees): 4.6730 4.5519 6.5383 90.04 110.94 90.00
Closest atoms and distances in Å follow each position.
Fractional coordinates of all 4 atoms:
Te  0.6855  0.8751  0.3710  2 Ni 2.69-2.70
Ba  0.2642  0.3754  0.5285  3 Ni 3.35-3.71, 4 Te 3.40
Ba  0.9826  0.8752  0.9652  3 Te 3.41-3.63, 4 Ni 3.42-3.43
Ni  0.5676  0.3743  0.1352  2 Te 2.69-2.70

Question: Among the records above, which one has the highest magnetic moment?
Answer: Ba2ZnTcNi

Question: Look up the magnetic moment of the first one.
Answer: 0.000 μB/f.u.

Repeat the fifth record exactly.
A plane-wave DFT calculation with SCAN was carried out for a crystal of BaTc2Ni relaxed with PBEsol.

## Properties
Symmetry: No. 123
Energy relative to the elements in eV per atom: 1.30
Magnetic moment in μB/f.u.: 0.943

Lattice parameters (Å, degrees): 3.7236 3.7236 5.2554 90.00 90.00 90.00
Closest atoms and distances in Å follow each position.
Fractional coordinates of all 4 atoms:
Ni  0.0000  0.0000  0.5000  4 Ba 2.63
Ba  0.5000  0.5000  0.5000  4 Ni 2.63
Tc  0.5000  0.0000  0.0000  4 Tc 2.63
Tc  0.0000  0.5000  0.0000  4 Tc 2.63

Question: What is the formula in the eighth record?
Answer: Ba2NiTe